(1)
This record from Alexandria describes a relaxed structure of La12Pm2Dy5. The functional is PBE.

Properties
Final energy ... -89.744 eV per formula unit
Mass density ... 6.83 g/cm3
Formation energy from the elements ... 100 meV per atom
Energy above the lowest structure with this stoichiometry ... 12 meV/atom
Magnetic moment ... 0.0 μB per formula unit

Lattice parameters (Å, degrees): 11.8542 8.9157 9.5709 70.23 90.00 131.67
Closest atoms and distances in Å follow each position.
Atoms (fractional coordinates):
La: 0.1011 0.2022 0.0760  5 La 3.59-3.87, 4 Dy 3.64-3.85, 2 Pm 3.83
La: 0.0467 0.5746 0.8114  3 La 3.29-3.47, 2 Dy 3.40-3.63, 1 Pm 3.45
La: 0.5279 0.5746 0.8114  3 La 3.29-3.47, 2 Dy 3.40-3.63, 1 Pm 3.45
La: 0.1565 0.7908 0.4067  5 La 3.46-3.87, 1 Pm 3.50, 4 Dy 3.55-3.76
La: 0.6343 0.7908 0.4067  5 La 3.46-3.87, 1 Pm 3.50, 4 Dy 3.55-3.76
La: 0.4353 0.8707 0.7742  4 La 3.39-3.54, 2 Dy 3.44-3.69, 2 Pm 3.68
La: 0.5647 0.1293 0.2258  4 La 3.39-3.54, 2 Dy 3.44-3.69, 2 Pm 3.68
La: 0.8435 0.2092 0.5933  5 La 3.46-3.87, 1 Pm 3.50, 4 Dy 3.55-3.76
La: 0.3657 0.2092 0.5933  5 La 3.46-3.87, 1 Pm 3.50, 4 Dy 3.55-3.76
La: 0.9533 0.4254 0.1886  3 La 3.29-3.47, 2 Dy 3.40-3.63, 1 Pm 3.45
La: 0.4721 0.4254 0.1886  3 La 3.29-3.47, 2 Dy 3.40-3.63, 1 Pm 3.45
La: 0.8989 0.7978 0.9240  5 La 3.59-3.87, 4 Dy 3.64-3.85, 2 Pm 3.83
Pm: 0.7144 0.0000 0.0000  8 La 3.45-3.83, 2 Dy 3.60
Pm: 0.2856 0.0000 0.0000  8 La 3.45-3.83, 2 Dy 3.60
Dy: 0.2160 0.4319 0.6397  2 Dy 3.53-3.68, 9 La 3.55-3.85
Dy: 0.3046 0.6093 0.2322  6 La 3.40-3.76, 2 Dy 3.53-3.69, 2 Pm 3.60
Dy: 0.0000 0.0000 0.5000  6 La 3.65-3.67, 4 Dy 3.68-3.69
Dy: 0.6954 0.3907 0.7678  6 La 3.40-3.76, 2 Dy 3.53-3.69, 2 Pm 3.60
Dy: 0.7840 0.5681 0.3603  2 Dy 3.53-3.68, 9 La 3.55-3.85

(2)
This record from Alexandria describes a relaxed structure of La4PmDy7. The functional is PBE.

Properties
Final energy ... -53.759 eV per formula unit
Mass density ... 7.28 g/cm3
Formation energy from the elements ... 243 meV per atom
Energy above the lowest structure with this stoichiometry ... 226 meV/atom
Magnetic moment ... 0.0 μB per formula unit

Lattice parameters (Å, degrees): 5.9837 11.8882 6.7871 83.56 63.84 75.42
Closest atoms and distances in Å follow each position.
Atoms (fractional coordinates):
La: 0.6349 0.2226 0.5077  7 Dy 3.43-3.72, 2 La 3.69
La: 0.3651 0.7774 0.4923  7 Dy 3.43-3.72, 2 La 3.69
La: 0.7804 0.6643 0.7748  5 Dy 3.31-3.69, 2 La 3.69
La: 0.2196 0.3357 0.2252  5 Dy 3.31-3.69, 2 La 3.69
Pm: 0.0000 0.0000 0.0000  4 Dy 2.99-3.16
Dy: 0.7891 0.9238 0.4980  1 Pm 3.16, 4 Dy 3.18-3.47, 4 La 3.43-3.44
Dy: 0.2109 0.0762 0.5020  1 Pm 3.16, 4 Dy 3.18-3.47, 4 La 3.43-3.44
Dy: 0.0706 0.6885 0.1704  4 Dy 3.30-3.68, 1 La 3.69
Dy: 0.9294 0.3115 0.8296  4 Dy 3.30-3.68, 1 La 3.69
Dy: 0.3668 0.4946 0.7718  4 Dy 3.30-3.68, 5 La 3.31-3.67
Dy: 0.5000 0.0000 0.0000  2 Pm 2.99, 2 Dy 3.18
Dy: 0.6332 0.5054 0.2282  4 Dy 3.30-3.68, 5 La 3.31-3.67

(3)
This record from Alexandria describes a relaxed structure of La3Pm2Dy. The functional is PBE.

Properties
Final energy ... -28.780 eV per formula unit
Mass density ... 6.83 g/cm3
Formation energy from the elements ... 18 meV per atom
Energy above the lowest structure with this stoichiometry ... 0 meV/atom
Magnetic moment ... 0.0 μB per formula unit

Lattice parameters (Å, degrees): 3.6811 10.4033 11.0319 89.67 90.00 90.00
Closest atoms and distances in Å follow each position.
Atoms (fractional coordinates):
La: 0.7500 0.1230 0.5834  3 Dy 3.65-3.68, 6 La 3.66-3.70, 3 Pm 3.67-3.68
La: 0.2500 0.8770 0.4166  3 Dy 3.65-3.68, 6 La 3.66-3.70, 3 Pm 3.67-3.68
La: 0.7500 0.6248 0.2502  7 La 3.68-3.70, 5 Pm 3.68-3.71
La: 0.2500 0.3752 0.7498  7 La 3.68-3.70, 5 Pm 3.68-3.71
La: 0.2500 0.3715 0.0853  2 Dy 3.64, 3 Pm 3.65-3.70, 7 La 3.68-3.74
La: 0.7500 0.6285 0.9147  2 Dy 3.64, 3 Pm 3.65-3.70, 7 La 3.68-3.74
Pm: 0.2500 0.3724 0.4160  6 La 3.65-3.68, 2 Dy 3.67, 4 Pm 3.68-3.73
Pm: 0.7500 0.6276 0.5840  6 La 3.65-3.68, 2 Dy 3.67, 4 Pm 3.68-3.73
Pm: 0.7500 0.1209 0.9170  4 Pm 3.61-3.68, 3 Dy 3.65-3.67, 5 La 3.68-3.71
Pm: 0.2500 0.8791 0.0830  4 Pm 3.61-3.68, 3 Dy 3.65-3.67, 5 La 3.68-3.71
Dy: 0.2500 0.8763 0.7500  5 La 3.64-3.68, 5 Pm 3.65-3.67, 2 Dy 3.68
Dy: 0.7500 0.1237 0.2500  5 La 3.64-3.68, 5 Pm 3.65-3.67, 2 Dy 3.68

(4)
This record from Alexandria describes a relaxed structure of LaPm3Dy5. The functional is PBE.

Properties
Final energy ... -39.421 eV per formula unit
Mass density ... 7.48 g/cm3
Formation energy from the elements ... 308 meV per atom
Energy above the lowest structure with this stoichiometry ... 64 meV/atom
Magnetic moment ... 0.0 μB per formula unit

Lattice parameters (Å, degrees): 6.0764 10.1447 11.3330 111.52 90.00 107.43
Closest atoms and distances in Å follow each position.
Atoms (fractional coordinates):
La: 0.8758 0.0000 0.7500  4 Pm 2.93-3.24, 2 Dy 2.95-3.12
La: 0.1242 0.0000 0.2500  4 Pm 2.93-3.24, 2 Dy 2.95-3.12
Pm: 0.0000 0.0000 0.0000  2 La 2.93
Pm: 0.4015 0.3565 0.3632  1 La 3.24, 1 Pm 3.29, 4 Dy 3.40-3.63
Pm: 0.0000 0.0000 0.5000  2 La 2.93
Pm: 0.5985 0.6435 0.6368  1 La 3.24, 1 Pm 3.29, 4 Dy 3.40-3.63
Pm: 0.9550 0.3565 0.8632  1 La 3.24, 1 Pm 3.29, 4 Dy 3.40-3.63
Pm: 0.0450 0.6435 0.1368  1 La 3.24, 1 Pm 3.29, 4 Dy 3.40-3.63
Dy: 0.3899 0.0000 0.7500  2 La 2.95-3.12
Dy: 0.5657 0.6608 0.9700  6 Dy 3.44-3.72, 4 Pm 3.55-3.72
Dy: 0.9059 0.3263 0.1978  4 Pm 3.40-3.63, 5 Dy 3.50-3.72
Dy: 0.4343 0.3392 0.0300  6 Dy 3.44-3.72, 4 Pm 3.55-3.72
Dy: 0.5796 0.6737 0.3022  4 Pm 3.40-3.63, 5 Dy 3.50-3.72
Dy: 0.6101 0.0000 0.2500  2 La 2.95-3.12
Dy: 0.0951 0.6608 0.4700  6 Dy 3.44-3.72, 4 Pm 3.55-3.72
Dy: 0.9049 0.3392 0.5300  6 Dy 3.44-3.72, 4 Pm 3.55-3.72
Dy: 0.4204 0.3263 0.6978  4 Pm 3.40-3.63, 5 Dy 3.50-3.72
Dy: 0.0941 0.6737 0.8022  4 Pm 3.40-3.63, 5 Dy 3.50-3.72

(5)
This record from Alexandria describes a relaxed structure of La2Pm3Dy7. The functional is PBE.

Properties
Final energy ... -55.294 eV per formula unit
Mass density ... 7.67 g/cm3
Formation energy from the elements ... 86 meV per atom
Energy above the lowest structure with this stoichiometry ... 0 meV/atom
Magnetic moment ... 0.0 μB per formula unit

Lattice parameters (Å, degrees): 3.5549 6.4048 18.1415 75.77 90.00 90.00
Closest atoms and distances in Å follow each position.
Atoms (fractional coordinates):
La: 0.5000 0.6174 0.3270  5 Dy 3.44-3.57, 2 La 3.55, 4 Pm 3.64-3.71
La: 0.5000 0.3826 0.6730  5 Dy 3.44-3.57, 2 La 3.55, 4 Pm 3.64-3.71
Pm: 0.5000 0.5000 0.0000  10 Dy 3.55-3.66, 2 Pm 3.55
Pm: 0.0000 0.1138 0.3412  2 Pm 3.55, 4 La 3.64-3.71, 7 Dy 3.65-3.77
Pm: 0.0000 0.8862 0.6588  2 Pm 3.55, 4 La 3.64-3.71, 7 Dy 3.65-3.77
Dy: 0.5000 0.2445 0.4998  2 Dy 3.13-3.28, 2 La 3.44-3.47
Dy: 0.5000 0.7555 0.5002  2 Dy 3.13-3.28, 2 La 3.44-3.47
Dy: 0.0000 0.5636 0.1623  7 Dy 3.53-3.67, 3 Pm 3.55-3.77, 2 La 3.57
Dy: 0.0000 0.0000 0.0000  8 Dy 3.53-3.58, 4 Pm 3.66
Dy: 0.0000 0.4364 0.8377  7 Dy 3.53-3.67, 3 Pm 3.55-3.77, 2 La 3.57
Dy: 0.5000 0.9371 0.8357  3 Pm 3.55-3.75, 8 Dy 3.55-3.67, 1 La 3.57
Dy: 0.5000 0.0629 0.1643  3 Pm 3.55-3.75, 8 Dy 3.55-3.67, 1 La 3.57

(6)
This record from Alexandria describes a relaxed structure of La6PmDy3. The functional is PBE.

Properties
Final energy ... -46.217 eV per formula unit
Mass density ... 6.78 g/cm3
Formation energy from the elements ... 190 meV per atom
Magnetic moment ... 0.0 μB per formula unit

Lattice parameters (Å, degrees): 10.0649 10.0649 7.1059 44.91 44.91 60.00
Closest atoms and distances in Å follow each position.
Atoms (fractional coordinates):
La: 0.8996 0.5745 0.2997  1 Pm 3.28, 2 Dy 3.53-3.54
La: 0.2263 0.8996 0.2997  1 Pm 3.28, 2 Dy 3.53-3.54
La: 0.5745 0.2263 0.2997  1 Pm 3.28, 2 Dy 3.53-3.54
La: 0.0747 0.3997 0.7993  3 Dy 3.28-3.56
La: 0.7263 0.0747 0.7993  3 Dy 3.28-3.56
La: 0.3997 0.7263 0.7993  3 Dy 3.28-3.56
Pm: 0.8996 0.8996 0.3013  2 Dy 3.09-3.10, 3 La 3.28
Dy: 0.3997 0.3997 0.8010  2 Dy 3.04-3.05, 3 La 3.28
Dy: 0.6479 0.6479 0.0564  1 Dy 3.05, 1 Pm 3.09
Dy: 0.1519 0.1519 0.5443  1 Dy 3.04, 1 Pm 3.10

(7)
This record from Alexandria describes a relaxed structure of La2Pm5Dy. The functional is PBE.

Properties
Final energy ... -37.515 eV per formula unit
Mass density ... 6.88 g/cm3
Formation energy from the elements ... 87 meV per atom
Energy above the lowest structure with this stoichiometry ... 0 meV/atom
Magnetic moment ... 0.0 μB per formula unit

Lattice parameters (Å, degrees): 6.5192 12.3259 14.9408 91.90 77.40 74.67
Closest atoms and distances in Å follow each position.
Atoms (fractional coordinates):
La: 0.2921 0.0955 0.7310  1 Dy 3.50, 8 Pm 3.58-3.86, 1 La 3.66
La: 0.7383 0.1170 0.0587  7 Pm 3.50-3.72, 1 Dy 3.54, 1 La 3.86
La: 0.9140 0.3830 0.4413  7 Pm 3.50-3.72, 1 Dy 3.54, 1 La 3.86
La: 0.8815 0.5955 0.2310  1 Dy 3.50, 8 Pm 3.58-3.86, 1 La 3.66
La: 0.1185 0.4045 0.7690  1 Dy 3.50, 8 Pm 3.58-3.86, 1 La 3.66
La: 0.0860 0.6170 0.5587  7 Pm 3.50-3.72, 1 Dy 3.54, 1 La 3.86
La: 0.2617 0.8830 0.9413  7 Pm 3.50-3.72, 1 Dy 3.54, 1 La 3.86
La: 0.7079 0.9045 0.2690  1 Dy 3.50, 8 Pm 3.58-3.86, 1 La 3.66
Pm: 0.2007 0.0003 0.1681  4 La 3.54-3.85, 1 Dy 3.57, 6 Pm 3.58-3.82
Pm: 0.2957 0.0861 0.4806  4 Pm 3.11-3.42, 2 Dy 3.41-3.45
Pm: 0.8002 0.1778 0.6350  5 Pm 3.42-3.82, 2 Dy 3.69, 2 La 3.71-3.72
Pm: 0.3782 0.2013 0.2876  2 Pm 3.26-3.58, 2 Dy 3.52-3.61, 2 La 3.53-3.64
Pm: 0.8671 0.2987 0.2124  2 Pm 3.26-3.58, 2 Dy 3.52-3.61, 2 La 3.53-3.64
Pm: 0.2591 0.1667 0.9690  4 Pm 3.37-3.68, 4 La 3.50-3.59, 1 Dy 3.64
Pm: 0.3948 0.3333 0.5310  4 Pm 3.37-3.68, 4 La 3.50-3.59, 1 Dy 3.64
Pm: 0.3691 0.4997 0.3319  4 La 3.54-3.85, 1 Dy 3.57, 6 Pm 3.58-3.82
Pm: 0.1377 0.5861 0.9806  4 Pm 3.11-3.42, 2 Dy 3.41-3.45
Pm: 0.6131 0.3222 0.8650  5 Pm 3.42-3.82, 2 Dy 3.69, 2 La 3.71-3.72
Pm: 0.3869 0.6778 0.1350  5 Pm 3.42-3.82, 2 Dy 3.69, 2 La 3.71-3.72
Pm: 0.8623 0.4139 0.0194  4 Pm 3.11-3.42, 2 Dy 3.41-3.45
Pm: 0.6309 0.5003 0.6681  4 La 3.54-3.85, 1 Dy 3.57, 6 Pm 3.58-3.82
Pm: 0.6052 0.6667 0.4690  4 Pm 3.37-3.68, 4 La 3.50-3.59, 1 Dy 3.64
Pm: 0.7409 0.8333 0.0310  4 Pm 3.37-3.68, 4 La 3.50-3.59, 1 Dy 3.64
Pm: 0.1329 0.7013 0.7876  2 Pm 3.26-3.58, 2 Dy 3.52-3.61, 2 La 3.53-3.64
Pm: 0.6218 0.7987 0.7124  2 Pm 3.26-3.58, 2 Dy 3.52-3.61, 2 La 3.53-3.64
Pm: 0.1998 0.8222 0.3650  5 Pm 3.42-3.82, 2 Dy 3.69, 2 La 3.71-3.72
Pm: 0.7043 0.9139 0.5194  4 Pm 3.11-3.42, 2 Dy 3.41-3.45
Pm: 0.7993 0.9997 0.8319  4 La 3.54-3.85, 1 Dy 3.57, 6 Pm 3.58-3.82
Dy: 0.8466 0.1146 0.3873  9 Pm 3.41-3.69, 2 La 3.50-3.54
Dy: 0.3486 0.3854 0.1127  9 Pm 3.41-3.69, 2 La 3.50-3.54
Dy: 0.6514 0.6146 0.8873  9 Pm 3.41-3.69, 2 La 3.50-3.54
Dy: 0.1533 0.8854 0.6127  9 Pm 3.41-3.69, 2 La 3.50-3.54

(8)
This record from Alexandria describes a relaxed structure of La12PmDy7. The functional is PBE.

Properties
Final energy ... -92.097 eV per formula unit
Mass density ... 6.91 g/cm3
Formation energy from the elements ... 200 meV per atom
Energy above the lowest structure with this stoichiometry ... 113 meV/atom
Magnetic moment ... 0.0 μB per formula unit

Lattice parameters (Å, degrees): 6.3844 11.5220 11.5220 116.67 100.64 100.64
Closest atoms and distances in Å follow each position.
Atoms (fractional coordinates):
La: 0.0931 0.5922 0.1847  3 La 3.30-3.62, 2 Dy 3.38
La: 0.0916 0.1847 0.5925  3 La 3.30-3.62, 2 Dy 3.38
La: 0.5695 0.6450 0.0005  1 La 3.29, 4 Dy 3.35-3.65
La: 0.4310 0.0005 0.3556  1 La 3.29, 4 Dy 3.35-3.65
La: 0.4991 0.4075 0.5922  3 La 3.30-3.62, 2 Dy 3.38
La: 0.0755 0.6444 0.6450  1 La 3.29, 4 Dy 3.35-3.65
La: 0.9245 0.3556 0.3550  1 La 3.29, 4 Dy 3.35-3.65
La: 0.5009 0.5925 0.4078  3 La 3.30-3.62, 2 Dy 3.38
La: 0.5690 0.9995 0.6444  1 La 3.29, 4 Dy 3.35-3.65
La: 0.4305 0.3550 0.9995  1 La 3.29, 4 Dy 3.35-3.65
La: 0.9084 0.8153 0.4075  3 La 3.30-3.62, 2 Dy 3.38
La: 0.9069 0.4078 0.8153  3 La 3.30-3.62, 2 Dy 3.38
Pm: 0.0000 0.0000 0.0000  8 Dy 3.09-3.19
Dy: 0.1154 0.7513 0.0005  1 Pm 3.09, 3 La 3.35-3.38, 1 Dy 3.41
Dy: 0.8851 0.0005 0.2492  1 Pm 3.09, 3 La 3.35-3.38, 1 Dy 3.41
Dy: 0.6359 0.7508 0.7513  1 Pm 3.09, 3 La 3.35-3.38, 1 Dy 3.41
Dy: 0.5000 0.0000 0.0000  2 Pm 3.19, 6 Dy 3.41
Dy: 0.3641 0.2492 0.2487  1 Pm 3.09, 3 La 3.35-3.38, 1 Dy 3.41
Dy: 0.1149 0.9995 0.7508  1 Pm 3.09, 3 La 3.35-3.38, 1 Dy 3.41
Dy: 0.8846 0.2487 0.9995  1 Pm 3.09, 3 La 3.35-3.38, 1 Dy 3.41

(9)
This record from Alexandria describes a relaxed structure of LaPm8Dy6. The functional is PBE.

Properties
Final energy ... -68.634 eV per formula unit
Mass density ... 7.46 g/cm3
Formation energy from the elements ... 127 meV per atom
Magnetic moment ... 0.0 μB per formula unit

Lattice parameters (Å, degrees): 9.1346 9.1346 8.7653 58.60 58.60 60.00
Closest atoms and distances in Å follow each position.
Atoms (fractional coordinates):
La: 0.0000 0.0000 0.0000  6 Dy 3.54, 6 Pm 3.56
Pm: 0.8864 0.2831 0.5808  5 Pm 3.44-3.48, 2 Dy 3.44-3.45, 1 La 3.56
Pm: 0.7503 0.1136 0.4192  5 Pm 3.44-3.48, 2 Dy 3.44-3.45, 1 La 3.56
Pm: 0.7169 0.7503 0.4192  5 Pm 3.44-3.48, 2 Dy 3.44-3.45, 1 La 3.56
Pm: 0.4223 0.4223 0.7332  4 Pm 3.27-3.44, 3 Dy 3.39
Pm: 0.5777 0.5777 0.2668  4 Pm 3.27-3.44, 3 Dy 3.39
Pm: 0.2831 0.2497 0.5808  5 Pm 3.44-3.48, 2 Dy 3.44-3.45, 1 La 3.56
Pm: 0.2497 0.8864 0.5808  5 Pm 3.44-3.48, 2 Dy 3.44-3.45, 1 La 3.56
Pm: 0.1136 0.7169 0.4192  5 Pm 3.44-3.48, 2 Dy 3.44-3.45, 1 La 3.56
Dy: 0.0966 0.5344 0.1203  3 Pm 3.39-3.45, 3 Dy 3.52-3.79, 1 La 3.54
Dy: 0.7514 0.9034 0.8797  3 Pm 3.39-3.45, 3 Dy 3.52-3.79, 1 La 3.54
Dy: 0.4656 0.7514 0.8797  3 Pm 3.39-3.45, 3 Dy 3.52-3.79, 1 La 3.54
Dy: 0.5344 0.2486 0.1203  3 Pm 3.39-3.45, 3 Dy 3.52-3.79, 1 La 3.54
Dy: 0.2486 0.0966 0.1203  3 Pm 3.39-3.45, 3 Dy 3.52-3.79, 1 La 3.54
Dy: 0.9034 0.4656 0.8797  3 Pm 3.39-3.45, 3 Dy 3.52-3.79, 1 La 3.54

final energy of number 5 (La2Pm3Dy7)? -55.294 eV per formula unit

Look up the mass density of the sixth one. 6.78 g/cm3